Entry 1:
The following is a DFT calculation (PBE) of a geometry-optimized RbBe2Rh structure.

The calculation puts the total DFT energy (no corrections) at -56.8 eV for the cell shown. The crystal system is tetragonal.

The space group is I4_1/amd (No. 141, origin choice 2) and the conventional cell measures 5.673, 5.673 and 12.541 Å, with angles of 90.00, 90.00 and 90.00 degrees. The inequivalent atoms are Rb at (0.000, 0.250, 0.375), Be at (0.000, 0.000, 0.000) and Rh at (0.000, 0.250, 0.875).

***

Entry 2:
The following is a DFT calculation (PBE) of a geometry-optimized Rb3BeRh structure.

The calculation puts the total DFT energy (no corrections) at -8.8 eV for the cell shown. The crystal system is cubic.

The space group is Pm-3m (No. 221) and the conventional cell measures 6.169, 6.169 and 6.169 Å, with angles of 90.00, 90.00 and 90.00 degrees. The inequivalent atoms are Rb at (0.000, 0.000, 0.500), Be at (0.500, 0.500, 0.500) and Rh at (0.000, 0.000, 0.000).

***

Entry 3:
The following is a DFT calculation (PBE) of a geometry-optimized RbBe2Rh structure.

The calculation puts the total DFT energy (no corrections) at -44.3 eV for the cell shown. The crystal system is cubic.

The space group is Fm-3m (No. 225) and the conventional cell measures 6.528, 6.528 and 6.528 Å, with angles of 90.00, 90.00 and 90.00 degrees. The inequivalent atoms are Rb at (0.000, 0.000, 0.000), Be at (0.250, 0.250, 0.250) and Rh at (0.000, 0.000, 0.500).

***

Entry 4:
The following is a DFT calculation (PBE) of a geometry-optimized RbBeSiRh2 structure.

The calculation puts the total DFT energy (no corrections) at -12.7 eV for the cell shown. The crystal system is tetragonal.

The space group is P4/mmm (No. 123) and the conventional cell measures 4.851, 4.851 and 4.601 Å, with angles of 90.00, 90.00 and 90.00 degrees. The inequivalent atoms are Rb at (0.000, 0.000, 0.000), Be at (0.000, 0.000, 0.500), Si at (0.500, 0.500, 0.500) and Rh at (0.000, 0.500, 0.000).

***

Entry 5:
The following is a DFT calculation (PBE) of a geometry-optimized RbBe2SiRh structure.

The calculation puts the total DFT energy (no corrections) at -20.4 eV for the cell shown. The crystal system is tetragonal.

The space group is P4/mmm (No. 123) and the conventional cell measures 4.605, 4.605 and 4.526 Å, with angles of 90.00, 90.00 and 90.00 degrees. The inequivalent atoms are Rb at (0.000, 0.000, 0.000), Be at (0.000, 0.500, 0.500), Si at (0.500, 0.500, 0.000) and Rh at (0.500, 0.500, 0.500).

***

Entry 6:
The following is a DFT calculation (PBE) of a geometry-optimized Rb2BeSnRh structure.

The calculation puts the total DFT energy (no corrections) at -12.6 eV for the cell shown. The crystal system is tetragonal.

The space group is P4/mmm (No. 123) and the conventional cell measures 6.556, 6.556 and 4.459 Å, with angles of 90.00, 90.00 and 90.00 degrees. The inequivalent atoms are Rb at (0.000, 0.500, 0.000), Be at (0.000, 0.000, 0.000), Sn at (0.000, 0.000, 0.500) and Rh at (0.500, 0.500, 0.500).

***

Entry 7:
The following is a DFT calculation (PBE) of a geometry-optimized RbBeRu3 structure.

The calculation puts the total DFT energy (no corrections) at -25.9 eV for the cell shown. The crystal system is cubic.

The space group is Pm-3m (No. 221) and the conventional cell measures 4.424, 4.424 and 4.424 Å, with angles of 90.00, 90.00 and 90.00 degrees. The inequivalent atoms are Rb at (0.000, 0.000, 0.000), Be at (0.500, 0.500, 0.500) and Ru at (0.000, 0.500, 0.500).

***

Entry 8:
The following is a DFT calculation (PBE) of a geometry-optimized RbBe3Ru structure.

The calculation puts the total DFT energy (no corrections) at -6.8 eV for the cell shown. The crystal system is cubic.

The space group is Pm-3m (No. 221) and the conventional cell measures 4.514, 4.514 and 4.514 Å, with angles of 90.00, 90.00 and 90.00 degrees. The inequivalent atoms are Rb at (0.000, 0.000, 0.000), Be at (0.000, 0.000, 0.500) and Ru at (0.500, 0.500, 0.500).

***

Entry 9:
The following is a DFT calculation (PBE) of a geometry-optimized Rb2BeRu structure.

The calculation puts the total DFT energy (no corrections) at -44.4 eV for the cell shown. The crystal system is tetragonal.

The space group is I4_1/amd (No. 141, origin choice 2) and the conventional cell measures 12.851, 12.851 and 4.239 Å, with angles of 90.00, 90.00 and 90.00 degrees. The inequivalent atoms are Rb at (0.000, 0.000, 0.000), Be at (0.000, 0.250, 0.375) and Ru at (0.000, 0.250, 0.875).

***

Entry 10:
The following is a DFT calculation (PBE) of a geometry-optimized Rb3BeRu structure.

The calculation puts the total DFT energy (no corrections) at -8.7 eV for the cell shown. The crystal system is cubic.

The space group is Pm-3m (No. 221) and the conventional cell measures 6.412, 6.412 and 6.412 Å, with angles of 90.00, 90.00 and 90.00 degrees. The inequivalent atoms are Rb at (0.000, 0.000, 0.500), Be at (0.500, 0.500, 0.500) and Ru at (0.000, 0.000, 0.000).

***

Entry 11:
The following is a DFT calculation (PBE) of a geometry-optimized RbBeRu3 structure.

The calculation puts the total DFT energy (no corrections) at -16.1 eV for the cell shown. The crystal system is cubic.

The space group is Pm-3m (No. 221) and the conventional cell measures 4.719, 4.719 and 4.719 Å, with angles of 90.00, 90.00 and 90.00 degrees. The inequivalent atoms are Rb at (0.000, 0.000, 0.000), Be at (0.500, 0.500, 0.500) and Ru at (0.000, 0.000, 0.500).

***

Entry 12:
The following is a DFT calculation (PBE) of a geometry-optimized RbBeRu2 structure.

The calculation puts the total DFT energy (no corrections) at -73.6 eV for the cell shown. The crystal system is tetragonal.

The space group is I-42d (No. 122) and the conventional cell measures 4.763, 4.763 and 16.545 Å, with angles of 90.00, 90.00 and 90.00 degrees. The inequivalent atoms are Rb at (0.000, 0.000, 0.000), Be at (0.000, 0.000, 0.500) and Ru at (0.014, 0.250, 0.625).